Computed, not measured: an optimized crystal structure of TaTl3Pd12 at the PBE level of DFT.

```
TaTl3Pd12
1.0
4.032 0.000 0.000
0.000 4.032 0.000
0.000 0.000 16.425
Ta Tl Pd
1 3 12
Direct
0.000 0.000 0.000
0.000 0.000 0.248
0.000 0.000 0.500
0.000 0.000 0.752
0.000 0.500 0.114
0.000 0.500 0.373
0.000 0.500 0.627
0.000 0.500 0.886
0.500 0.000 0.114
0.500 0.000 0.373
0.500 0.000 0.627
0.500 0.000 0.886
0.500 0.500 0.000
0.500 0.500 0.243
0.500 0.500 0.500
0.500 0.500 0.757
```

Properties
The final energy comes out at -5.381 eV per atom. The formation enthalpy at 0 K is -0.3023 eV/atom. Its density of states at the Fermi level is 10.76 states/eV/f.u.

***

Computed, not measured: an optimized crystal structure of TlH2Pd2 at the PBE level of DFT.

```
TlH2Pd2
1.0
-1.740 1.740 5.108
1.740 -1.740 5.108
1.740 1.740 -5.108
Tl H Pd
1 2 2
Direct
0.000 0.000 0.000
0.250 0.750 0.500
0.750 0.250 0.500
0.332 0.332 0.000
0.668 0.668 0.000
```

Properties
The final energy comes out at -3.953 eV per atom. The calculation puts the relative energy among the computed polymorphs at 42 meV per atom. Its density of states at the Fermi level is 0.86 states/eV/f.u.

***

Computed, not measured: an optimized crystal structure of Hf2Be2CuNi5 at the PBE level of DFT.

```
Hf2Be2CuNi5
1.0
8.599 0.000 0.000
0.000 8.599 0.000
0.000 0.000 3.294
Hf Be Cu Ni
4 4 2 10
Direct
0.181 0.319 0.000
0.319 0.819 0.000
0.681 0.181 0.000
0.819 0.681 0.000
0.113 0.613 0.000
0.387 0.113 0.000
0.613 0.887 0.000
0.887 0.387 0.000
0.000 0.000 0.000
0.500 0.500 0.000
0.000 0.500 0.500
0.065 0.787 0.500
0.213 0.065 0.500
0.287 0.565 0.500
0.435 0.287 0.500
0.500 0.000 0.500
0.565 0.713 0.500
0.713 0.435 0.500
0.787 0.935 0.500
0.935 0.213 0.500
```

Properties
The final energy comes out at -6.427 eV per atom. The formation enthalpy at 0 K is -0.3907 eV/atom. Its density of states at the Fermi level is 4.92 states/eV/f.u.

***

Computed, not measured: an optimized crystal structure of AcTeBrO at the PBE level of DFT.

```
AcTeBrO
1.0
4.237 0.000 0.000
0.000 4.237 0.000
0.000 0.000 14.536
Ac Te Br O
2 2 2 2
Direct
0.250 0.250 0.088
0.750 0.750 0.912
0.250 0.750 0.500
0.750 0.250 0.500
0.250 0.250 0.798
0.750 0.750 0.202
0.250 0.750 0.000
0.750 0.250 0.000
```

Properties
The final energy comes out at -5.649 eV per atom. As for the formation energy from raw total energies: -2.18 eV per atom. Its density of states at the Fermi level is 1.05 states/eV/f.u.

***

Computed, not measured: an optimized crystal structure of MoAsIN2 at the PBE level of DFT.

```
MoAsIN2
1.0
3.952 0.000 0.000
0.000 3.952 0.000
0.000 0.000 5.573
Mo As I N
1 1 1 2
Direct
0.000 0.000 0.000
0.000 0.000 0.500
0.500 0.500 0.000
0.000 0.500 0.500
0.500 0.000 0.500
```

Properties
The final energy comes out at -5.041 eV per atom. As for the formation energy from raw total energies: 1.70 eV per atom. The calculation puts the relative energy among the computed polymorphs at 778 meV per atom. Its density of states at the Fermi level is 3.40 states/eV/f.u.

***

Computed, not measured: an optimized crystal structure of NaHfRu2 at the PBE level of DFT.

```
NaHfRu2
1.0
0.000 3.209 3.209
3.209 0.000 3.209
3.209 3.209 0.000
Na Hf Ru
1 1 2
Direct
0.000 0.000 0.000
0.500 0.500 0.500
0.250 0.250 0.250
0.750 0.750 0.750
```

Properties
The final energy comes out at -7.208 eV per atom. The formation enthalpy at 0 K is 0.2482 eV/atom. The calculation puts the relative energy among the computed polymorphs at 0 meV per atom. Its density of states at the Fermi level is 4.27 states/eV/f.u.

***

Computed, not measured: an optimized crystal structure of Zr2MoPS at the PBE level of DFT.

```
Zr2MoPS
1.0
4.964 0.000 0.000
0.000 4.964 0.000
0.000 0.000 4.213
Zr Mo P S
2 1 1 1
Direct
0.000 0.500 0.000
0.500 0.000 0.000
0.000 0.000 0.500
0.500 0.500 0.000
0.500 0.500 0.500
```

Properties
The final energy comes out at -6.931 eV per atom. As for the formation energy from raw total energies: 0.56 eV per atom. Its density of states at the Fermi level is 4.26 states/eV/f.u.

***

Computed, not measured: an optimized crystal structure of Ac2GaSi3Pd4 at the PBE level of DFT.

```
Ac2GaSi3Pd4
1.0
4.398 0.000 0.000
0.000 4.398 0.000
0.000 0.000 10.241
Ac Ga Si Pd
2 1 3 4
Direct
0.000 0.500 0.248
0.500 0.000 0.752
0.500 0.500 0.000
0.000 0.000 0.000
0.000 0.500 0.622
0.500 0.000 0.378
0.000 0.000 0.500
0.000 0.500 0.868
0.500 0.000 0.132
0.500 0.500 0.500
```

Properties
The final energy comes out at -5.678 eV per atom. As for the formation energy from raw total energies: -0.85 eV per atom. Its density of states at the Fermi level is 4.97 states/eV/f.u.

***

Computed, not measured: an optimized crystal structure of ZrBe2Sb at the PBE level of DFT.

```
ZrBe2Sb
1.0
0.000 3.280 3.280
3.280 0.000 3.280
3.280 3.280 0.000
Zr Be Sb
1 2 1
Direct
0.000 0.000 0.000
0.250 0.250 0.250
0.500 0.500 0.500
0.750 0.750 0.750
```

Properties
The final energy comes out at -4.466 eV per atom. As for the formation energy from raw total energies: 0.56 eV per atom. Its density of states at the Fermi level is 5.01 states/eV/f.u.

***

Computed, not measured: an optimized crystal structure of MoN at the PBE level of DFT.

```
MoN
1.0
8.806 0.000 0.000
0.000 8.806 0.000
0.000 0.000 3.272
Mo N
8 8
Direct
0.089 0.631 0.000
0.145 0.289 0.500
0.289 0.855 0.500
0.369 0.089 0.000
0.631 0.911 0.000
0.711 0.145 0.500
0.855 0.711 0.500
0.911 0.369 0.000
0.079 0.769 0.500
0.159 0.417 0.000
0.231 0.079 0.500
0.417 0.841 0.000
0.583 0.159 0.000
0.769 0.921 0.500
0.841 0.583 0.000
0.921 0.231 0.500
```

Properties
The final energy comes out at -9.771 eV per atom. As for the formation energy from raw total energies: -0.19 eV per atom. Its density of states at the Fermi level is 0.25 states/eV/f.u.

***

Computed, not measured: an optimized crystal structure of Ho12Sb5C2 at the PBE level of DFT.

```
Ho12Sb5C2
1.0
8.316 -3.762 0.000
8.316 3.762 0.000
-2.706 0.000 8.759
Ho Sb C
12 5 2
Direct
0.000 0.000 0.172
0.000 0.000 0.828
0.092 0.605 0.921
0.121 0.598 0.440
0.395 0.908 0.079
0.402 0.879 0.560
0.495 0.495 0.813
0.505 0.505 0.187
0.598 0.121 0.440
0.605 0.092 0.921
0.879 0.402 0.560
0.908 0.395 0.079
0.000 0.000 0.500
0.294 0.294 0.650
0.314 0.314 0.157
0.686 0.686 0.843
0.706 0.706 0.350
0.254 0.746 0.000
0.746 0.254 0.000
```

Properties
The final energy comes out at -5.516 eV per atom. As for the formation energy from raw total energies: -0.57 eV per atom. Its density of states at the Fermi level is 19.53 states/eV/f.u.

***

Computed, not measured: an optimized crystal structure of BeVTcBr2 at the PBE level of DFT.

```
BeVTcBr2
1.0
5.117 0.000 0.000
0.000 5.117 0.000
0.000 0.000 4.578
Be V Tc Br
1 1 1 2
Direct
0.000 0.000 0.000
0.500 0.500 0.000
0.500 0.500 0.500
0.000 0.500 0.500
0.500 0.000 0.500
```

Properties
The final energy comes out at -4.068 eV per atom. As for the formation energy from raw total energies: 1.24 eV per atom. Its density of states at the Fermi level is 6.04 states/eV/f.u.